GGA-PBE Hf2ZrCo, optimized geometry; energy above the lowest structure with this stoichiometry = 16 meV per atom; formation energy = -0.21 eV/atom
1.0
6.127 0.000 0.000
0.000 8.949 0.000
0.000 0.000 5.752
Hf Zr Co
8 4 4
direct
0.189 0.061 0.161
0.189 0.439 0.161
0.311 0.561 0.661
0.311 0.939 0.661
0.689 0.061 0.339
0.689 0.439 0.339
0.811 0.561 0.839
0.811 0.939 0.839
0.030 0.250 0.654
0.470 0.750 0.154
0.530 0.250 0.846
0.970 0.750 0.346
0.113 0.750 0.916
0.387 0.250 0.416
0.613 0.750 0.584
0.887 0.250 0.084